Record 1
This record from Alexandria via LeMat-Bulk describes a relaxed AgMoSe crystal. The functional is PBEsol.

Values from the calculation:
ΔE_f (raw) (meV/atom): 347
Crystal system: hexagonal
ρ (g cm⁻³): 9.24
E above lowest polymorph (eV/atom): 0.275

Structure (CIF):
```
data_AgMoSe
_space_group_name_H-M_alt 'P -6 m 2'
_space_group_IT_number 187
_space_group_name_Hall 'P -6 2'
_cell_length_a 4.2149
_cell_length_b 4.2149
_cell_length_c 3.3018
_cell_angle_alpha 90.00
_cell_angle_beta 90.00
_cell_angle_gamma 120.00
loop_
_atom_site_label
_atom_site_fract_x
_atom_site_fract_y
_atom_site_fract_z
Ag1 0.0000 0.0000 0.0000
Mo1 0.3333 0.6667 0.5000
Se1 0.6667 0.3333 0.5000
```

---

Record 2
This record from Alexandria via LeMat-Bulk describes a relaxed BaB2PdPb crystal. The functional is PBEsol.

Values from the calculation:
Crystal system: tetragonal
E_form (kJ/mol of formula units): 392
ρ (g cm⁻³): 7.43

Structure (CIF):
```
data_BaB2PdPb
_space_group_name_H-M_alt 'P 4/m m m'
_space_group_IT_number 123
_space_group_name_Hall '-P 4 2'
_cell_length_a 4.380
_cell_length_b 4.380
_cell_length_c 5.504
_cell_angle_alpha 90.00
_cell_angle_beta 90.00
_cell_angle_gamma 90.00
loop_
_atom_site_label
_atom_site_fract_x
_atom_site_fract_y
_atom_site_fract_z
Ba1 0.000 0.000 0.000
B1 0.000 0.500 0.500
Pd1 0.500 0.500 0.500
Pb1 0.500 0.500 0.000
```

---

Record 3
This record from Alexandria via LeMat-Bulk describes a relaxed LiYBi2 crystal. The functional is PBEsol.

Values from the calculation:
Crystal system: cubic
E_form (kJ/mol of formula units): -191
ρ (g cm⁻³): 8.04

Structure (CIF):
```
data_LiYBi2
_space_group_name_H-M_alt 'F m -3 m'
_space_group_IT_number 225
_space_group_name_Hall '-F 4 2 3'
_cell_length_a 7.514
_cell_length_b 7.514
_cell_length_c 7.514
_cell_angle_alpha 90.00
_cell_angle_beta 90.00
_cell_angle_gamma 90.00
loop_
_atom_site_label
_atom_site_fract_x
_atom_site_fract_y
_atom_site_fract_z
Li1 0.000 0.000 0.000
Y1 0.000 0.000 0.500
Bi1 0.250 0.250 0.250
```

---

Record 4
This record from Alexandria via LeMat-Bulk describes a relaxed ZrTcMo2 crystal. The functional is PBEsol.

Values from the calculation:
Crystal system: orthorhombic
E_form (kJ/mol of formula units): -33
ρ (g cm⁻³): 9.83
E above lowest polymorph (eV/atom): 0.028

Structure (CIF):
```
data_ZrTcMo2
_space_group_name_H-M_alt 'P m m m'
_space_group_IT_number 47
_cell_length_a 3.176
_cell_length_b 4.446
_cell_length_c 4.557
_cell_angle_alpha 90.00
_cell_angle_beta 90.00
_cell_angle_gamma 90.00
loop_
_space_group_symop_operation_xyz
'x,y,z'
'-x,-y,-z'
'-x,-y,z'
'x,y,-z'
'x,-y,-z'
'-x,y,z'
'-x,y,-z'
'x,-y,z'
loop_
_atom_site_label
_atom_site_fract_x
_atom_site_fract_y
_atom_site_fract_z
Zr1 0.000 0.000 0.000
Tc1 0.500 0.500 0.000
Mo1 0.000 0.500 0.500
Mo2 0.500 0.000 0.500
```

---

Record 5
This record from Alexandria via LeMat-Bulk describes a relaxed LiCuNi2 crystal. The functional is PBEsol.

Values from the calculation:
Crystal system: monoclinic
E_form (kJ/mol of formula units): 8
ρ (g cm⁻³): 7.26

Structure (CIF):
```
data_LiCuNi2
_space_group_name_H-M_alt 'C 1 m 1'
_space_group_IT_number 8
_cell_length_a 8.244
_cell_length_b 2.446
_cell_length_c 4.317
_cell_angle_alpha 90.00
_cell_angle_beta 99.20
_cell_angle_gamma 90.00
loop_
_space_group_symop_operation_xyz
'x,y,z'
'x,-y,z'
'x+1/2,y+1/2,z'
'x+1/2,-y+1/2,z'
loop_
_atom_site_label
_atom_site_fract_x
_atom_site_fract_y
_atom_site_fract_z
Li1 0.000 0.000 0.000
Cu1 0.256 0.500 0.232
Ni1 0.001 0.500 0.508
Ni2 0.243 0.000 0.719
```

---

Record 6
This record from Alexandria via LeMat-Bulk describes a relaxed Er2ZnAu crystal. The functional is PBEsol.

Values from the calculation:
Crystal system: cubic
E_form (kJ/mol of formula units): -238
ρ (g cm⁻³): 11.64

Structure (CIF):
```
data_Er2ZnAu
_space_group_name_H-M_alt 'F m -3 m'
_space_group_IT_number 225
_space_group_name_Hall '-F 4 2 3'
_cell_length_a 6.984
_cell_length_b 6.984
_cell_length_c 6.984
_cell_angle_alpha 90.00
_cell_angle_beta 90.00
_cell_angle_gamma 90.00
loop_
_atom_site_label
_atom_site_fract_x
_atom_site_fract_y
_atom_site_fract_z
Er1 0.250 0.250 0.250
Zn1 0.000 0.000 0.000
Au1 0.000 0.000 0.500
```